Arrangement one

First-principles (PBE) data for a relaxed RbTcAu crystal, as listed in OQMD via LeMat-Bulk.

Computed properties:
The symmetry is F-43m (216).

Cell lengths 5.091, 5.091, 5.091 Å; angles 60.00, 60.00, 60.00 degrees
Sites, in units of the cell vectors:
Au: 0.000 0.000 0.000
Rb: 0.250 0.250 0.250
Tc: 0.750 0.750 0.750

***

Arrangement two

First-principles (PBE) data for a relaxed RbTcAu crystal, as listed in OQMD via LeMat-Bulk.

Computed properties:
The symmetry is F-43m (216).

Cell lengths 5.310, 5.310, 5.310 Å; angles 60.00, 60.00, 60.00 degrees
Sites, in units of the cell vectors:
Au: 0.250 0.250 0.250
Rb: 0.000 0.000 0.000
Tc: 0.750 0.750 0.750

***

Taking the most stable structure as the zero point, the relative energies in meV/atom are arrangement one 0; arrangement two 539.